TaAg2P: optimized geometry, GGA-PBE.

abc: 5.7658 5.7658 4.2431
angles: 68.38 68.38 30.97
Atoms (fractional coordinates):
1 Ta 0.7500 0.7500 0.7500
2 Ag 0.5330 0.5330 0.4669
3 Ag 0.9670 0.9670 0.0331
4 P 0.2500 0.2500 0.2500

Properties
As for the symmetry: Immm, No. 71. The calculation puts the total magnetization at 0.00 μB per formula unit. As for the formation energy: 153 meV/atom. Its calculated total energy is -5.5882 eV/atom.